Entry 1:
First-principles (GGA-PBE) data for an optimized crystal structure of La2Pm3YSe6, as listed in Alexandria.

Results
For the uncorrected formation energy, the calculation gives -1.8793 eV/atom. The total energy comes out at -74.0 eV per cell.

abc: 7.320 7.320 7.295
angles: 99.64 99.64 120.17
Positions (direct):
La 0.334 0.666 0.000
La 0.666 0.334 0.000
Pm 0.171 0.829 0.500
Pm 0.829 0.171 0.500
Pm 0.500 0.500 0.500
Y 0.000 0.000 0.000
Se 0.917 0.594 0.750
Se 0.762 0.762 0.255
Se 0.083 0.406 0.250
Se 0.594 0.917 0.750
Se 0.238 0.238 0.745
Se 0.406 0.083 0.250

=====

Entry 2:
First-principles (GGA-PBE) data for an optimized crystal structure of Tc2SbPt, as listed in Alexandria.

Results
For the uncorrected formation energy, the calculation gives 0.1587 eV/atom. The total energy comes out at -30.3 eV per cell.

abc: 5.192 5.192 5.192
angles: 142.55 129.10 64.88
Positions (direct):
Pt 0.484 0.484 0.000
Sb 0.252 0.752 0.500
Tc 0.013 0.013 0.000
Tc 0.750 0.250 0.500

=====

Entry 3:
First-principles (GGA-PBE) data for an optimized crystal structure of Si23Pb3, as listed in Alexandria.

Results
For the uncorrected formation energy, the calculation gives 0.1469 eV/atom. The total energy comes out at -264.1 eV per cell.

abc: 10.216 10.216 10.216
angles: 90.00 90.00 90.00
Positions (direct):
Pb 0.250 0.500 0.000
Pb 0.750 0.500 0.000
Pb 0.500 0.000 0.250
Pb 0.500 0.000 0.750
Pb 0.000 0.250 0.500
Pb 0.000 0.750 0.500
Si 0.250 0.000 0.500
Si 0.750 0.000 0.500
Si 0.000 0.500 0.250
Si 0.000 0.500 0.750
Si 0.500 0.250 0.000
Si 0.500 0.750 0.000
Si 0.684 0.684 0.684
Si 0.684 0.316 0.316
Si 0.316 0.684 0.316
Si 0.316 0.316 0.684
Si 0.816 0.816 0.816
Si 0.816 0.184 0.184
Si 0.184 0.816 0.184
Si 0.184 0.184 0.816
Si 0.316 0.316 0.316
Si 0.316 0.684 0.684
Si 0.684 0.316 0.684
Si 0.684 0.684 0.316
Si 0.184 0.184 0.184
Si 0.184 0.816 0.816
Si 0.816 0.184 0.816
Si 0.816 0.816 0.184
Si 0.000 0.692 0.883
Si 0.000 0.308 0.117
Si 0.000 0.692 0.117
Si 0.000 0.308 0.883
Si 0.692 0.883 0.000
Si 0.692 0.117 0.000
Si 0.308 0.883 0.000
Si 0.308 0.117 0.000
Si 0.883 0.000 0.692
Si 0.883 0.000 0.308
Si 0.117 0.000 0.308
Si 0.117 0.000 0.692
Si 0.808 0.500 0.617
Si 0.808 0.500 0.383
Si 0.192 0.500 0.383
Si 0.192 0.500 0.617
Si 0.500 0.617 0.808
Si 0.500 0.383 0.192
Si 0.500 0.617 0.192
Si 0.500 0.383 0.808
Si 0.617 0.808 0.500
Si 0.617 0.192 0.500
Si 0.383 0.808 0.500
Si 0.383 0.192 0.500

=====

Entry 4:
First-principles (GGA-PBE) data for an optimized crystal structure of Ca2TaMn, as listed in Alexandria.

Results
As for the excess energy over the best structure of this formula in the dataset: 197 kJ/mol of formula units. The calculated formation energy comes out at 0.8204 eV per atom. The total energy comes out at -21.7 eV per cell.

abc: 4.995 3.107 6.867
angles: 63.52 90.00 90.00
Last column: magnetic moment on the atom in μB.
Positions (direct):
Ca 0.000 0.004 0.999  -0.04
Ca 0.000 0.496 0.501  -0.04
Mn 0.500 0.250 0.250  3.77
Ta 0.500 0.750 0.750  -0.59

=====

Entry 5:
First-principles (GGA-PBE) data for an optimized crystal structure of AcMg6Ag12, as listed in Alexandria.

Results
The calculated formation energy comes out at -0.0570 eV per atom. The total energy comes out at -49.0 eV per cell.

abc: 7.660 7.660 7.660
angles: 103.67 103.67 103.67
Positions (direct):
Ac 0.000 0.000 0.000
Mg 0.700 0.280 0.280
Mg 0.280 0.280 0.700
Mg 0.280 0.700 0.280
Mg 0.720 0.720 0.300
Mg 0.300 0.720 0.720
Mg 0.720 0.300 0.720
Ag 0.887 0.113 0.500
Ag 0.877 0.624 0.624
Ag 0.624 0.624 0.877
Ag 0.376 0.123 0.376
Ag 0.376 0.376 0.123
Ag 0.123 0.376 0.376
Ag 0.113 0.500 0.887
Ag 0.500 0.887 0.113
Ag 0.113 0.887 0.500
Ag 0.887 0.500 0.113
Ag 0.500 0.113 0.887
Ag 0.624 0.877 0.624

=====

Entry 6:
First-principles (GGA-PBE) data for an optimized crystal structure of SrInBr3, as listed in Alexandria.

Results
For the uncorrected formation energy, the calculation gives -0.9532 eV/atom. The total energy comes out at -14.2 eV per cell.

abc: 5.823 5.823 5.823
angles: 90.00 90.00 90.00
Positions (direct):
Sr 0.500 0.500 0.500
Br 0.000 0.500 0.000
Br 0.000 0.000 0.500
Br 0.500 0.000 0.000
In 0.000 0.000 0.000

=====

Entry 7:
First-principles (GGA-PBE) data for an optimized crystal structure of BaSc2Si, as listed in Alexandria.

Results
For the uncorrected formation energy, the calculation gives -0.1301 eV/atom. The total energy comes out at -20.5 eV per cell.

abc: 3.727 3.748 8.946
angles: 65.27 90.00 90.00
Last column: magnetic moment on the atom in μB.
Positions (direct):
Ba 0.500 0.789 0.710  0.00
Sc 0.000 0.924 0.076  0.18
Sc 0.500 0.195 0.306  0.14
Si 0.000 0.592 0.408  0.00

=====

Entry 8:
First-principles (GGA-PBE) data for an optimized crystal structure of Pm6Ni2GeBr3, as listed in Alexandria.

Results
For the uncorrected formation energy, the calculation gives -0.8907 eV/atom. The total energy comes out at -60.4 eV per cell.

abc: 4.076 8.986 9.751
angles: 107.49 102.07 90.00
Positions (direct):
Pm 0.338 0.875 0.676
Pm 0.677 0.554 0.355
Pm 0.662 0.125 0.324
Pm 0.015 0.238 0.030
Pm 0.985 0.762 0.970
Pm 0.323 0.446 0.645
Ni 0.831 0.660 0.662
Ni 0.169 0.340 0.338
Ge 0.500 0.000 0.000
Br 0.500 0.500 0.000
Br 0.839 0.162 0.678
Br 0.161 0.838 0.322

=====

Entry 9:
First-principles (GGA-PBE) data for an optimized crystal structure of FeCo2Ag, as listed in Alexandria.

Results
As for the excess energy over the best structure of this formula in the dataset: 39 kJ/mol of formula units. The calculated formation energy comes out at 0.3149 eV per atom. The total energy comes out at -24.3 eV per cell.

abc: 4.567 4.567 4.567
angles: 132.04 132.04 70.16
Last column: magnetic moment on the atom in μB.
Positions (direct):
Ag 0.750 0.250 0.500  0.04
Co 0.000 0.000 0.000  1.70
Co 0.250 0.750 0.500  1.66
Fe 0.500 0.500 0.000  2.82

=====

Entry 10:
First-principles (GGA-PBE) data for an optimized crystal structure of Ba2ScAg2Se4, as listed in Alexandria.

Results
For the uncorrected formation energy, the calculation gives -1.2228 eV/atom. The total energy comes out at -40.8 eV per cell.

abc: 4.150 7.845 8.327
angles: 113.32 104.43 90.00
Positions (direct):
Ba 0.135 0.583 0.271
Ba 0.865 0.417 0.729
Sc 0.000 0.000 0.000
Ag 0.686 0.995 0.371
Ag 0.314 0.005 0.629
Se 0.186 0.223 0.373
Se 0.814 0.777 0.627
Se 0.511 0.758 0.021
Se 0.489 0.242 0.979

=====

Entry 11:
First-principles (GGA-PBE) data for an optimized crystal structure of Rb3Tm3PaTe8, as listed in Alexandria.

Results
For the uncorrected formation energy, the calculation gives -1.2553 eV/atom. The total energy comes out at -69.8 eV per cell.

abc: 8.886 8.886 10.107
angles: 116.10 90.00 120.00
Last column: magnetic moment on the atom in μB.
Positions (direct):
Rb 0.000 0.000 0.000  0.00
Rb 0.000 0.500 0.000  0.00
Rb 0.500 0.500 0.000  0.00
Tm 0.500 0.000 0.500  0.00
Tm 0.500 0.500 0.500  0.00
Tm 0.000 0.500 0.500  0.00
Pa 0.000 0.000 0.500  1.08
Te 0.268 0.536 0.304  0.00
Te 0.732 0.464 0.696  0.00
Te 0.765 0.531 0.303  -0.01
Te 0.235 0.469 0.697  -0.01
Te 0.765 0.038 0.303  -0.01
Te 0.235 0.962 0.697  -0.01
Te 0.272 0.038 0.303  -0.01
Te 0.728 0.962 0.697  -0.01

=====

no.,total magnetization (μB/f.u.)
1,0.000
2,0.000
3,0.000
4,2.875
5,0.000
6,0.000
7,0.538
8,0.000
9,6.101
10,0.000
11,1.027